Compound: CaZn2As
Source: Alexandria
Functional: GGA-PBEsol
Structure: optimized geometry

```
data_CaZn2As
_cell_length_a 4.048
_cell_length_b 4.508
_cell_length_c 4.735
_cell_angle_alpha 90.00
_cell_angle_beta 93.09
_cell_angle_gamma 90.00
_space_group_name_H-M_alt 'P 1 2/m 1'
_space_group_IT_number 10
_space_group_name_Hall '-P 2y'
loop_
_atom_site_label
_atom_site_type_symbol
_atom_site_fract_x
_atom_site_fract_y
_atom_site_fract_z
Ca1 Ca 0.000 0.000 0.000
Zn1 Zn 0.442 0.500 0.753
As1 As 0.500 0.000 0.500
```

Output
- Energy of formation: -1.31 eV per formula unit
- Total magnetization: 0.000 μB per cell
- Raw total energy: -2.93 eV/atom